No. 1
Below is crystalline TlPd7Au4 at its relaxed geometry, with properties calculated at the PBE level.

a = 10.218 Å, b = 4.998 Å, c = 9.927 Å
α = 90.00°, β = 119.46°, γ = 90.00°
Space group C2/m (No. 12)
Symmetry-distinct sites (fractional):
Tl  0.000  0.000  0.000 x2
Pd  0.000  0.500  0.000 x2
Pd  0.113  0.000  0.457 x4
Pd  0.153  0.500  0.617 x4
Pd  0.213  0.500  0.916 x4
Au  0.086  0.500  0.312 x4
Au  0.185  0.000  0.770 x4

Summary:
Calculated volume (Å³ per cell): 441.4
DFT formation energy (eV/atom): 0.083
E (eV per atom): -4.236
Size of the total moment (μB/f.u.): 0.00

No. 2
Below is crystalline TlPd8Au2 at its relaxed geometry, with properties calculated at the PBE level.

a = 13.481 Å, b = 5.342 Å, c = 5.490 Å
α = 90.00°, β = 105.97°, γ = 90.00°
Space group C2/m (No. 12)
Symmetry-distinct sites (fractional):
Tl  0.000  0.000  0.000 x2
Pd  0.079  0.500  0.212 x4
Pd  0.092  0.253  0.673 x8
Pd  0.245  0.500  0.038 x4
Au  0.221  0.000  0.424 x4

Summary:
Calculated volume (Å³ per cell): 380.1
DFT formation energy (eV/atom): 0.040
E (eV per atom): -4.548
Size of the total moment (μB/f.u.): 0.00

No. 3
Below is crystalline Tl2PdAu at its relaxed geometry, with properties calculated at the PBE level.

a = 9.756 Å, b = 3.688 Å, c = 6.495 Å
α = 90.00°, β = 127.90°, γ = 90.00°
Space group Cm (No. 8)
Symmetry-distinct sites (fractional):
Tl  0.000  0.000  0.000 x2
Tl  0.131  0.000  0.642 x2
Pd  0.250  0.500  0.432 x2
Au  0.369  0.000  0.225 x2

Summary:
Calculated volume (Å³ per cell): 184.4
DFT formation energy (eV/atom): -0.040
E (eV per atom): -3.341
Size of the total moment (μB/f.u.): 0.00

No. 4
Below is crystalline Tl6Pd2Au at its relaxed geometry, with properties calculated at the PBE level.

a = 4.932 Å, b = 12.237 Å, c = 14.726 Å
α = 90.00°, β = 90.00°, γ = 90.00°
Space group Fmmm (No. 69)
Symmetry-distinct sites (fractional):
Tl  0.000  0.143  0.170 x16
Tl  0.000  0.147  0.500 x8
Pd  0.000  0.000  0.330 x8
Au  0.000  0.000  0.000 x4

Summary:
Calculated volume (Å³ per cell): 888.7
DFT formation energy (eV/atom): -0.038
E (eV per atom): -3.134
Size of the total moment (μB/f.u.): 0.00

No. 5
Below is crystalline Tl2Pd6Au at its relaxed geometry, with properties calculated at the PBE level.

a = 4.850 Å, b = 8.852 Å, c = 14.497 Å
α = 90.00°, β = 90.00°, γ = 90.00°
Space group Fmmm (No. 69)
Symmetry-distinct sites (fractional):
Tl  0.000  0.000  0.162 x8
Pd  0.000  0.164  0.332 x16
Pd  0.000  0.169  0.000 x8
Au  0.000  0.000  0.500 x4

Summary:
Calculated volume (Å³ per cell): 622.4
DFT formation energy (eV/atom): -0.131
E (eV per atom): -4.483
Size of the total moment (μB/f.u.): 0.00

No. 6
Below is crystalline TlPd2Au2 at its relaxed geometry, with properties calculated at the PBE level.

a = 3.852 Å, b = 3.852 Å, c = 13.553 Å
α = 90.00°, β = 90.00°, γ = 90.00°
Space group I4/mmm (No. 139)
Symmetry-distinct sites (fractional):
Tl  0.000  0.000  0.000 x2
Pd  0.000  0.000  0.402 x4
Au  0.000  0.500  0.250 x4

Summary:
Calculated volume (Å³ per cell): 201.1
DFT formation energy (eV/atom): 0.046
E (eV per atom): -3.815
Size of the total moment (μB/f.u.): 0.00

No. 7
Below is crystalline TlPd2Au3 at its relaxed geometry, with properties calculated at the PBE level.

a = 5.919 Å, b = 8.374 Å, c = 9.115 Å
α = 90.00°, β = 107.66°, γ = 90.00°
Space group C2/c (No. 15)
Symmetry-distinct sites (fractional):
Tl  0.000  0.125  0.250 x4
Pd  0.168  0.125  0.587 x8
Au  0.000  0.376  0.750 x4
Au  0.163  0.375  0.077 x8

Summary:
Calculated volume (Å³ per cell): 430.5
DFT formation energy (eV/atom): -0.080
E (eV per atom): -3.844
Size of the total moment (μB/f.u.): 0.00

No. 8
Below is crystalline Tl3Pd4Au at its relaxed geometry, with properties calculated at the PBE level.

a = 9.706 Å, b = 5.769 Å, c = 5.391 Å
α = 90.00°, β = 90.00°, γ = 90.00°
Space group Pmn2_1 (No. 31)
Symmetry-distinct sites (fractional):
Tl  0.000  0.043  0.000 x2
Tl  0.237  0.662  0.720 x4
Pd  0.000  0.546  0.060 x2
Pd  0.000  0.878  0.495 x2
Pd  0.249  0.152  0.713 x4
Au  0.000  0.372  0.548 x2

Summary:
Calculated volume (Å³ per cell): 301.9
DFT formation energy (eV/atom): -0.115
E (eV per atom): -4.009
Size of the total moment (μB/f.u.): 0.00